Entry 1:
Compound: Y2ZrAl
Source: OQMD via LeMat-Bulk
Functional: GGA-PBE
Structure: relaxed

abc: 7.3326 7.3326 7.3326
angles: 90.00 90.00 90.00
Space group F-43m (No. 216)
One atom of each set of equivalent atoms:
Y 0.0000 0.0000 0.0000
Y 0.2500 0.2500 0.2500
Zr 0.2500 0.2500 0.7500
Al 0.0000 0.0000 0.5000

Calculated values
**Final energy**: -6.290 eV per atom
**Crystal system**: cubic

***

Entry 2:
Compound: PmAgTeO
Source: OQMD via LeMat-Bulk
Functional: GGA-PBE
Structure: relaxed

abc: 9.9186 5.8530 5.8532
angles: 90.00 90.00 90.00
Space group Pbcm (No. 57)
One atom of each set of equivalent atoms:
Pm 0.1128 0.0002 0.2500
Ag 0.4990 0.2500 0.0000
Te 0.2944 0.5013 0.2500
O 0.0000 0.2500 0.0000

Calculated values
**Final energy**: -5.747 eV per atom
**Crystal system**: orthorhombic

***

Entry 3:
Compound: HfSiSb
Source: OQMD via LeMat-Bulk
Functional: GGA-PBE
Structure: relaxed

abc: 7.2282 3.6050 8.9814
angles: 90.00 90.00 90.00
Space group Pnma (No. 62)
One atom of each set of equivalent atoms:
Hf 0.1217 0.2500 0.2499
Si 0.1055 0.2500 0.5841
Sb 0.1378 0.2500 0.9125

Calculated values
**Final energy**: -6.800 eV per atom
**Crystal system**: orthorhombic

***

Entry 4:
Compound: Rb2AgBr2Cl2
Source: OQMD via LeMat-Bulk
Functional: GGA-PBE
Structure: relaxed

abc: 4.4829 7.5283 7.5942
angles: 90.00 90.00 90.00
Space group Pmm2 (No. 25)
One atom of each set of equivalent atoms:
Rb 0.0000 0.0000 0.0000
Rb 0.0000 0.5000 0.4567
Ag 0.5000 0.5000 0.9745
Br 0.5000 0.2558 0.7334
Cl 0.5000 0.2668 0.2080

Calculated values
**Final energy**: -2.895 eV per atom
**Crystal system**: orthorhombic

***

Entry 5:
Compound: HfMgAg
Source: OQMD via LeMat-Bulk
Functional: GGA-PBE
Structure: relaxed

abc: 6.5902 6.5902 6.5902
angles: 90.00 90.00 90.00
Space group F-43m (No. 216)
One atom of each set of equivalent atoms:
Hf 0.0000 0.0000 0.0000
Mg 0.2500 0.2500 0.2500
Ag 0.2500 0.2500 0.7500

Calculated values
**Final energy**: -4.015 eV per atom
**Crystal system**: cubic

***

Entry 6:
Compound: RbNaAgSb
Source: OQMD via LeMat-Bulk
Functional: GGA-PBE
Structure: relaxed

abc: 6.0293 10.3098 8.5667
angles: 90.00 90.00 90.00
Space group Amm2 (No. 38)
One atom of each set of equivalent atoms:
Rb 0.0000 0.1768 0.0000
Na 0.5000 0.1663 0.6933
Ag 0.2471 0.0000 0.3721
Sb 0.0000 0.0000 0.6410
Sb 0.5000 0.0000 0.1111

Calculated values
**Final energy**: -2.628 eV per atom
**Crystal system**: orthorhombic

***

Entry 7:
Compound: Li3Gd3Te2O12
Source: OQMD via LeMat-Bulk
Functional: GGA-PBE
Structure: relaxed

abc: 12.3661 12.3661 12.3661
angles: 90.00 90.00 90.00
Space group Ia-3d (No. 230)
One atom of each set of equivalent atoms:
Li 0.0000 0.2500 0.3750
Gd 0.0000 0.2500 0.1250
Te 0.0000 0.0000 0.0000
O 0.0270 0.0530 0.6458

Calculated values
**Final energy**: -6.615 eV per atom
**Crystal system**: cubic

***

Entry 8:
Compound: BaMoIrAu
Source: OQMD via LeMat-Bulk
Functional: GGA-PBE
Structure: relaxed

abc: 6.8725 6.8725 6.8725
angles: 90.00 90.00 90.00
Space group F-43m (No. 216)
One atom of each set of equivalent atoms:
Ba 0.0000 0.0000 0.0000
Mo 0.2500 0.2500 0.7500
Ir 0.0000 0.0000 0.5000
Au 0.2500 0.2500 0.2500

Calculated values
**Final energy**: -5.446 eV per atom
**Crystal system**: cubic

***

Entry 9:
Compound: RbTmGaSe3
Source: OQMD via LeMat-Bulk
Functional: GGA-PBE
Structure: relaxed

abc: 4.5334 15.0292 10.8127
angles: 90.00 90.00 90.00
Space group Cmcm (No. 63)
One atom of each set of equivalent atoms:
Rb 0.0000 0.2480 0.2500
Tm 0.0000 0.5000 0.0000
Ga 0.0000 0.0157 0.7500
Se 0.0000 0.1166 0.5608
Se 0.0000 0.4388 0.7500

Calculated values
**Final energy**: -4.371 eV per atom
**Crystal system**: orthorhombic

***

Entry 10:
Compound: AcTcTe
Source: OQMD via LeMat-Bulk
Functional: GGA-PBE
Structure: relaxed

abc: 7.5590 7.5590 7.5590
angles: 90.00 90.00 90.00
Space group F-43m (No. 216)
One atom of each set of equivalent atoms:
Ac 0.0000 0.0000 0.0000
Tc 0.2500 0.2500 0.7500
Te 0.2500 0.2500 0.2500

Calculated values
**Final energy**: -5.119 eV per atom
**Crystal system**: cubic

***

Entry 11:
Compound: MgTcHg2O6
Source: OQMD via LeMat-Bulk
Functional: GGA-PBE
Structure: relaxed

abc: 7.8418 7.8418 7.8418
angles: 90.00 90.00 90.00
Space group Fm-3m (No. 225)
One atom of each set of equivalent atoms:
Mg 0.0000 0.0000 0.0000
Tc 0.0000 0.0000 0.5000
Hg 0.2500 0.2500 0.2500
O 0.0000 0.0000 0.2578

Calculated values
**Final energy**: -5.213 eV per atom
**Crystal system**: cubic

***

Entry 12:
Compound: CsThZr
Source: OQMD via LeMat-Bulk
Functional: GGA-PBE
Structure: relaxed

abc: 7.4341 7.4341 7.4341
angles: 90.00 90.00 90.00
Space group F-43m (No. 216)
One atom of each set of equivalent atoms:
Cs 0.0000 0.0000 0.0000
Th 0.2500 0.2500 0.7500
Zr 0.2500 0.2500 0.2500

Calculated values
**Final energy**: -3.764 eV per atom
**Crystal system**: cubic

***

Entry 13:
Compound: Tb2Te
Source: OQMD via LeMat-Bulk
Functional: GGA-PBE
Structure: relaxed

abc: 13.5218 13.5218 13.5218
angles: 90.00 90.00 90.00
Space group Fd-3m (No. 227, origin choice 2)
One atom of each set of equivalent atoms:
Tb 0.0000 0.0000 0.0000
Te 0.1250 0.1250 0.1250

Calculated values
**Final energy**: -3.228 eV per atom
**Crystal system**: cubic

***

Entry 14:
Compound: SrCuPt2
Source: OQMD via LeMat-Bulk
Functional: GGA-PBE
Structure: relaxed

abc: 6.7065 6.7065 6.7065
angles: 90.00 90.00 90.00
Space group F-43m (No. 216)
One atom of each set of equivalent atoms:
Sr 0.0000 0.0000 0.0000
Cu 0.2500 0.2500 0.2500
Pt 0.0000 0.0000 0.5000
Pt 0.2500 0.2500 0.7500

Calculated values
**Final energy**: -4.496 eV per atom
**Crystal system**: cubic

***

Entry 15:
Compound: SrAsOs
Source: OQMD via LeMat-Bulk
Functional: GGA-PBE
Structure: relaxed

abc: 6.8234 6.8234 6.8234
angles: 90.00 90.00 90.00
Space group F-43m (No. 216)
One atom of each set of equivalent atoms:
Sr 0.0000 0.0000 0.0000
As 0.2500 0.2500 0.7500
Os 0.2500 0.2500 0.2500

Calculated values
**Final energy**: -4.356 eV per atom
**Crystal system**: cubic

***

Entry 16:
Compound: CsTbHg3O4
Source: OQMD via LeMat-Bulk
Functional: GGA-PBE
Structure: relaxed

abc: 6.0521 6.0521 6.0521
angles: 90.00 90.00 90.00
Space group P-43m (No. 215)
One atom of each set of equivalent atoms:
Cs 0.0000 0.0000 0.0000
Tb 0.5000 0.5000 0.5000
Hg 0.0000 0.5000 0.5000
O 0.2938 0.2938 0.2938

Calculated values
**Final energy**: -3.959 eV per atom
**Crystal system**: cubic

***

Entry 17:
Compound: Co2Si
Source: OQMD via LeMat-Bulk
Functional: GGA-PBE
Structure: relaxed

abc: 4.8714 3.7045 7.0297
angles: 90.00 90.00 90.00
Space group Pnma (No. 62)
One atom of each set of equivalent atoms:
Co 0.0375 0.2500 0.2177
Co 0.1737 0.2500 0.5651
Si 0.2030 0.2500 0.8943

Calculated values
**Final energy**: -6.999 eV per atom
**Crystal system**: orthorhombic

***

Entry 18:
Compound: Pm3CO2
Source: OQMD via LeMat-Bulk
Functional: GGA-PBE
Structure: relaxed

abc: 3.6130 3.6130 8.7306
angles: 90.00 90.00 120.00
Space group P-3m1 (No. 164)
One atom of each set of equivalent atoms:
Pm 0.0000 0.0000 0.0000
Pm 0.3333 0.6667 0.6608
C 0.0000 0.0000 0.5000
O 0.3333 0.6667 0.1436

Calculated values
**Final energy**: -7.533 eV per atom
**Crystal system**: trigonal

***

Entry 19:
Compound: Tb3GdPd4
Source: OQMD via LeMat-Bulk
Functional: GGA-PBE
Structure: relaxed

abc: 5.5959 4.5895 7.0148
angles: 90.00 90.11 90.00
Space group Pm (No. 6)
One atom of each set of equivalent atoms:
Tb 0.0000 0.0000 0.0000
Tb 0.2148 0.0000 0.4995
Tb 0.7150 0.5000 0.3645
Gd 0.5001 0.5000 0.8646
Pd 0.0102 0.5000 0.7245
Pd 0.2041 0.5000 0.2258
Pd 0.5105 0.0000 0.1409
Pd 0.7054 0.0000 0.6380

Calculated values
**ΔE_f**: -0.91 eV/atom
**Crystal system**: monoclinic

***

Entry 20:
Compound: Li8Cu3
Source: OQMD via LeMat-Bulk
Functional: GGA-PBE
Structure: relaxed

abc: 7.4213 4.2734 9.9754
angles: 90.00 104.52 90.00
Space group C2/m (No. 12)
One atom of each set of equivalent atoms:
Li 0.0904 0.0000 0.2715
Li 0.1360 0.5000 0.9080
Li 0.1805 0.0000 0.5414
Li 0.2281 0.5000 0.1843
Cu 0.0000 0.0000 0.0000
Cu 0.0428 0.5000 0.6275

Calculated values
**Final energy**: -2.395 eV per atom
**Crystal system**: monoclinic

***

Entry 21:
Compound: NdErAu6
Source: OQMD via LeMat-Bulk
Functional: GGA-PBE
Structure: relaxed

abc: 5.0538 6.2536 5.1534
angles: 90.00 90.00 90.00
Space group Pmm2 (No. 25)
One atom of each set of equivalent atoms:
Nd 0.0000 0.0000 0.0000
Er 0.5000 0.5000 0.6872
Au 0.0000 0.2670 0.5035
Au 0.0000 0.5000 0.0042
Au 0.5000 0.0000 0.6623
Au 0.5000 0.2536 0.1816

Calculated values
**ΔE_f**: -0.70 eV/atom
**Crystal system**: orthorhombic

***

Entry 22:
Compound: USe
Source: OQMD via LeMat-Bulk
Functional: GGA-PBE
Structure: relaxed

abc: 6.4716 6.4716 6.4716
angles: 90.00 90.00 90.00
Space group F-43m (No. 216)
One atom of each set of equivalent atoms:
U 0.0000 0.0000 0.0000
Se 0.2500 0.2500 0.2500

Calculated values
**Final energy**: -7.651 eV per atom
**Crystal system**: cubic